Record 1
# AcNd3Ho3 PBE-GGA optimized geometry
data_AcNd3Ho3
_chemical_formula_sum 'Ac2 Nd6 Ho6'
_cell_length_a 9.797
_cell_length_b 9.797
_cell_length_c 5.882
_cell_angle_alpha 90.00
_cell_angle_beta 90.00
_cell_angle_gamma 120.00
_symmetry_space_group_name_H-M 'P 1'
_symmetry_Int_Tables_number 1
loop_
_symmetry_equiv_pos_as_xyz
'x,y,z'
loop_
_atom_site_label
_atom_site_fract_x
_atom_site_fract_y
_atom_site_fract_z
Ac1 0.333 0.667 0.250
Ac2 0.667 0.333 0.750
Nd1 0.094 0.625 0.750
Nd2 0.375 0.470 0.750
Nd3 0.470 0.094 0.250
Nd4 0.530 0.906 0.750
Nd5 0.625 0.530 0.250
Nd6 0.906 0.375 0.250
Ho1 0.043 0.814 0.250
Ho2 0.186 0.228 0.250
Ho3 0.228 0.043 0.750
Ho4 0.772 0.957 0.250
Ho5 0.814 0.772 0.750
Ho6 0.957 0.186 0.750
# crystal system = hexagonal
# space-group type = P6_3/m
# E above lowest polymorph = 0.0070 eV/atom

Record 2
# AcNd4Ho5 PBE-GGA optimized geometry
data_AcNd4Ho5
_chemical_formula_sum 'Ac1 Nd4 Ho5'
_cell_length_a 3.662
_cell_length_b 3.662
_cell_length_c 25.282
_cell_angle_alpha 90.00
_cell_angle_beta 90.00
_cell_angle_gamma 90.00
_symmetry_space_group_name_H-M 'P 1'
_symmetry_Int_Tables_number 1
loop_
_symmetry_equiv_pos_as_xyz
'x,y,z'
loop_
_atom_site_label
_atom_site_fract_x
_atom_site_fract_y
_atom_site_fract_z
Ac1 0.000 0.000 0.000
Nd1 0.000 0.000 0.204
Nd2 0.000 0.000 0.401
Nd3 0.000 0.000 0.599
Nd4 0.000 0.000 0.796
Ho1 0.500 0.500 0.106
Ho2 0.500 0.500 0.303
Ho3 0.500 0.500 0.500
Ho4 0.500 0.500 0.697
Ho5 0.500 0.500 0.894
# crystal system = tetragonal
# space-group type = P4/mmm

Record 3
# Ac2Nd5Ho12 PBE-GGA optimized geometry
data_Ac2Nd5Ho12
_chemical_formula_sum 'Ac2 Nd5 Ho12'
_cell_length_a 6.789
_cell_length_b 8.895
_cell_length_c 11.982
_cell_angle_alpha 92.82
_cell_angle_beta 103.25
_cell_angle_gamma 112.41
_symmetry_space_group_name_H-M 'P 1'
_symmetry_Int_Tables_number 1
loop_
_symmetry_equiv_pos_as_xyz
'x,y,z'
loop_
_atom_site_label
_atom_site_fract_x
_atom_site_fract_y
_atom_site_fract_z
Ac1 0.224 0.041 0.134
Ac2 0.776 0.959 0.866
Nd1 0.000 0.500 0.500
Nd2 0.206 0.429 0.997
Nd3 0.363 0.293 0.461
Nd4 0.637 0.707 0.539
Nd5 0.794 0.571 0.003
Ho1 0.001 0.890 0.374
Ho2 0.161 0.763 0.830
Ho3 0.205 0.637 0.262
Ho4 0.385 0.502 0.744
Ho5 0.395 0.964 0.619
Ho6 0.418 0.174 0.882
Ho7 0.582 0.826 0.118
Ho8 0.605 0.036 0.381
Ho9 0.615 0.498 0.256
Ho10 0.795 0.363 0.738
Ho11 0.839 0.237 0.170
Ho12 0.999 0.110 0.626
# crystal system = triclinic
# space-group type = P-1

Record 4
# Ac4Nd3Ho4 PBE-GGA optimized geometry
data_Ac4Nd3Ho4
_chemical_formula_sum 'Ac4 Nd3 Ho4'
_cell_length_a 19.078
_cell_length_b 19.078
_cell_length_c 3.715
_cell_angle_alpha 91.96
_cell_angle_beta 91.96
_cell_angle_gamma 17.63
_symmetry_space_group_name_H-M 'P 1'
_symmetry_Int_Tables_number 1
loop_
_symmetry_equiv_pos_as_xyz
'x,y,z'
loop_
_atom_site_label
_atom_site_fract_x
_atom_site_fract_y
_atom_site_fract_z
Ac1 0.092 0.092 0.194
Ac2 0.279 0.279 0.760
Ac3 0.721 0.721 0.240
Ac4 0.908 0.908 0.806
Nd1 0.000 0.000 0.500
Nd2 0.367 0.367 0.295
Nd3 0.633 0.633 0.705
Ho1 0.180 0.180 0.727
Ho2 0.460 0.460 0.216
Ho3 0.540 0.540 0.784
Ho4 0.820 0.820 0.273
# crystal system = monoclinic
# space-group type = C2/m

Record 5
# Ac2Nd5Ho2 PBE-GGA optimized geometry
data_Ac2Nd5Ho2
_chemical_formula_sum 'Ac2 Nd5 Ho2'
_cell_length_a 9.076
_cell_length_b 3.690
_cell_length_c 10.124
_cell_angle_alpha 90.00
_cell_angle_beta 103.29
_cell_angle_gamma 90.00
_symmetry_space_group_name_H-M 'P 1'
_symmetry_Int_Tables_number 1
loop_
_symmetry_equiv_pos_as_xyz
'x,y,z'
loop_
_atom_site_label
_atom_site_fract_x
_atom_site_fract_y
_atom_site_fract_z
Ac1 0.022 0.000 0.186
Ac2 0.978 0.000 0.814
Nd1 0.000 0.500 0.500
Nd2 0.325 0.500 0.043
Nd3 0.358 0.000 0.708
Nd4 0.642 0.000 0.292
Nd5 0.675 0.500 0.957
Ho1 0.339 0.500 0.391
Ho2 0.661 0.500 0.609
# crystal system = monoclinic
# space-group type = P2/m

Record 6
# AcNd3Ho PBE-GGA optimized geometry
data_AcNd3Ho
_chemical_formula_sum 'Ac2 Nd6 Ho2'
_cell_length_a 3.755
_cell_length_b 8.807
_cell_length_c 11.605
_cell_angle_alpha 105.09
_cell_angle_beta 99.29
_cell_angle_gamma 90.04
_symmetry_space_group_name_H-M 'P 1'
_symmetry_Int_Tables_number 1
loop_
_symmetry_equiv_pos_as_xyz
'x,y,z'
loop_
_atom_site_label
_atom_site_fract_x
_atom_site_fract_y
_atom_site_fract_z
Ac1 0.214 0.308 0.429
Ac2 0.786 0.692 0.571
Nd1 0.179 0.876 0.356
Nd2 0.389 0.487 0.778
Nd3 0.421 0.926 0.843
Nd4 0.579 0.074 0.157
Nd5 0.611 0.513 0.222
Nd6 0.821 0.124 0.644
Ho1 0.016 0.714 0.033
Ho2 0.984 0.286 0.967
# crystal system = triclinic
# space-group type = P-1
# E above lowest polymorph = 0.0000 eV/atom

| no. | uncorrected energy (eV/atom) | N(E_F) (states/eV per cell) | energy of formation from the pure elements (eV/atom) |
| --- | --- | --- | --- |
| 1 | -4.55 | 23.4 | 0.04 |
| 2 | -4.58 | 14.5 | 0.03 |
| 3 | -4.50 | 29.8 | 0.08 |
| 4 | -4.38 | 17.0 | 0.08 |
| 5 | -4.52 | 14.3 | 0.06 |
| 6 | -4.56 | 17.6 | 0.04 |